Entry from the Alexandria database: crystalline Ca4MgGa3 at its relaxed geometry (GGA-PBE).

SG: Pmma

Lattice parameters (Å, degrees): 5.235 7.556 10.469 90.00 90.00 90.00
Sites, in units of the cell vectors:
Ca  0.500  0.760  0.000
Ca  0.500  0.760  0.500
Ca  0.500  0.240  0.000
Ca  0.500  0.240  0.500
Ca  0.003  0.760  0.750
Ca  0.997  0.760  0.250
Ca  0.997  0.240  0.250
Ca  0.003  0.240  0.750
Mg  0.000  0.500  0.000
Mg  0.000  0.500  0.500
Ga  0.000  0.000  0.000
Ga  0.000  0.000  0.500
Ga  0.504  0.000  0.750
Ga  0.496  0.000  0.250
Ga  0.503  0.500  0.750
Ga  0.497  0.500  0.250

***

Entry from the Alexandria database: crystalline YCuAu2 at its relaxed geometry (GGA-PBE).

energy relative to the lowest polymorph listed for this composition: 159 meV per atom
SG: Pmm2

Lattice parameters (Å, degrees): 4.647 3.467 5.208 89.99 90.00 90.00
Sites, in units of the cell vectors:
Au  0.000  0.250  0.978
Au  0.500  0.250  0.277
Cu  0.000  0.250  0.489
Y  0.500  0.750  0.756

***

Entry from the Alexandria database: crystalline Li5Zn2Ag at its relaxed geometry (GGA-PBE).

energy relative to the lowest polymorph listed for this composition: 44 meV per atom
SG: I4/mcm

Lattice parameters (Å, degrees): 6.945 6.945 7.421 117.90 117.90 90.00
Sites, in units of the cell vectors:
Li  0.503  0.682  0.685
Li  0.818  0.997  0.315
Li  0.000  0.000  0.000
Li  0.500  0.500  0.000
Li  0.182  0.003  0.685
Li  0.682  0.182  0.685
Li  0.003  0.503  0.685
Li  0.318  0.818  0.315
Li  0.997  0.497  0.315
Li  0.497  0.318  0.315
Zn  0.133  0.367  0.000
Zn  0.633  0.133  0.000
Zn  0.367  0.867  0.000
Zn  0.867  0.633  0.000
Ag  0.750  0.750  0.500
Ag  0.250  0.250  0.500

***

Values for total energy, eV/atom, ordered as above
-2.6942, -4.7159, -1.9774
Values for volume, Å³/f.u., ordered as above
207.0, 83.9, 134.2
Values for DFT formation energy, meV/atom, ordered as above
-359.0, -437.2, -106.4